VASP calculation (GGA+U) on NaCoPbO2 after structural relaxation.

Lattice parameters (Å, degrees): 4.007 4.007 5.107 90.00 90.00 90.00
Space group P4/mmm (No. 123)
Symmetry-distinct sites (fractional):
1 Na 0.000 0.000 0.000 (multiplicity 1)
2 Co 0.500 0.500 0.500 (multiplicity 1)
3 Pb 0.500 0.500 0.000 (multiplicity 1)
4 O 0.000 0.500 0.500 (multiplicity 2)

Values from the calculation:
D(E_F): 0.542 states/eV/atom
VASP energy: -4.08 eV per atom